No. 1
# Er5ThTl6, optimized geometry, DFT PBE
# **Mass density**: 11.66 g cm⁻³
# **Energy relative to the elements**: -0.2680 eV/atom
data_Er5ThTl6
_symmetry_space_group_name_H-M 'I m m m'
_symmetry_Int_Tables_number 71
_symmetry_space_group_name_Hall '-I 2 2'
_cell_length_a 5.401
_cell_length_b 7.469
_cell_length_c 16.207
_cell_angle_alpha 90.00
_cell_angle_beta 90.00
_cell_angle_gamma 90.00
loop_
_atom_site_label
_atom_site_fract_x
_atom_site_fract_y
_atom_site_fract_z
Er1 0.000 0.000 0.000
Er2 0.000 0.000 0.340
Er3 0.000 0.500 0.331
Th1 0.000 0.500 0.000
Tl1 0.000 0.242 0.171
Tl2 0.000 0.266 0.500



No. 2
# Sc2Ti2Si, optimized geometry, DFT PBE
# **Energy relative to the elements, uncorrected**: -0.79 eV per formula unit
# **Mass density**: 3.68 g cm⁻³
data_Sc2Ti2Si
_symmetry_space_group_name_H-M 'P 4/m b m'
_symmetry_Int_Tables_number 127
_symmetry_space_group_name_Hall '-P 4 2ab'
_cell_length_a 6.741
_cell_length_b 6.741
_cell_length_c 4.249
_cell_angle_alpha 90.00
_cell_angle_beta 90.00
_cell_angle_gamma 90.00
loop_
_atom_site_label
_atom_site_fract_x
_atom_site_fract_y
_atom_site_fract_z
Sc1 0.159 0.341 0.000
Ti1 0.143 0.643 0.500
Si1 0.000 0.000 0.500



Question: The highest mass density belongs to which entry?
Answer: Er5ThTl6